Record 1
PmGa2PtAu | Alexandria | GGA-PBE | optimized geometry; E_tot = -4.74 eV per atom; DFT formation energy = -0.715 eV/atom
1.0
-2.0315 2.0737 5.9790
2.0315 -2.0737 5.9790
2.0315 2.0737 -5.9790
Pm Ga Pt Au
1 2 1 1
Direct
0.0000 0.0000 0.0000 Pm
0.3838 0.3838 0.0000 Ga
0.7324 0.2324 0.5000 Ga
0.5894 0.5894 0.0000 Pt
0.2532 0.7532 0.5000 Au


Record 2
LaCeSiAg | Alexandria | GGA-PBE | optimized geometry; E_tot = -5.12 eV per atom; raw formation energy = -0.33 eV per atom
1.0
0.0000 3.7157 3.7157
3.7157 0.0000 3.7157
3.7157 3.7157 0.0000
La Ce Si Ag
1 1 1 1
Direct
0.0000 0.0000 0.0000 La
0.5000 0.5000 0.5000 Ce
0.7500 0.7500 0.7500 Si
0.2500 0.2500 0.2500 Ag


Record 3
PaSi2MoOs | Alexandria | GGA-PBE | optimized geometry; E_tot = -8.97 eV per atom; raw formation energy = -0.49 eV per atom
1.0
-2.0895 2.0895 4.9444
2.0895 -2.0895 4.9444
2.0895 2.0895 -4.9444
Pa Si Mo Os
1 2 1 1
Direct
0.0000 0.0000 0.0000 Pa
0.3791 0.3791 0.0000 Si
0.6209 0.6209 0.0000 Si
0.2500 0.7500 0.5000 Mo
0.7500 0.2500 0.5000 Os


Record 4
AgPt2 | Alexandria | GGA-PBE | optimized geometry; E_tot = -4.83 eV per atom; DFT formation energy = 0.147 eV/atom; polymorph energy (0 for the lowest one) = 155 meV per atom
1.0
-1.3702 2.2854 8.6473
1.3702 -2.2854 8.6473
1.3702 2.2854 -8.6473
Ag Pt
2 4
Direct
0.3701 0.1201 0.2500 Ag
0.6299 0.8799 0.7500 Ag
0.0636 0.3136 0.7500 Pt
0.2147 0.4647 0.7500 Pt
0.7853 0.5353 0.2500 Pt
0.9364 0.6864 0.2500 Pt


Record 5
Cu2PdPt | Alexandria | GGA-PBE | optimized geometry; E_tot = -4.99 eV per atom; DFT formation energy = -0.136 eV/atom
1.0
2.8118 -3.5156 0.0000
2.8118 3.5156 0.0000
0.0000 0.0000 2.7940
Cu Pd Pt
2 1 1
Direct
0.0000 0.5000 0.0000 Cu
0.5000 0.0000 0.0000 Cu
0.0000 0.0000 0.5000 Pd
0.5000 0.5000 0.5000 Pt


Record 6
Tb5PrNd2 | Alexandria | GGA-PBE | optimized geometry; E_tot = -4.52 eV per atom; DFT formation energy = 0.167 eV/atom; polymorph energy (0 for the lowest one) = 151 meV per atom
1.0
8.2448 -5.0136 0.0000
8.2448 5.0136 0.0000
-0.9098 0.0000 6.4813
Tb Pr Nd
10 2 4
Direct
0.0581 0.9419 0.7500 Tb
0.1063 0.2872 0.0222 Tb
0.2872 0.1063 0.5222 Tb
0.3139 0.4890 0.8570 Tb
0.4890 0.3139 0.3570 Tb
0.5110 0.6861 0.6430 Tb
0.6861 0.5110 0.1430 Tb
0.7128 0.8937 0.4778 Tb
0.8937 0.7128 0.9778 Tb
0.9419 0.0581 0.2500 Tb
0.0000 0.5000 0.5000 Pr
0.5000 0.0000 0.0000 Pr
0.1762 0.6708 0.3863 Nd
0.3292 0.8238 0.1137 Nd
0.6708 0.1762 0.8863 Nd
0.8238 0.3292 0.6137 Nd


Record 7
ReCSe3 | Alexandria | GGA-PBE | optimized geometry; E_tot = -4.89 eV per atom; raw formation energy = 1.53 eV per atom; polymorph energy (0 for the lowest one) = 0 meV per atom
1.0
4.2520 0.0000 0.0000
0.0000 4.2520 0.0000
0.0000 0.0000 4.2520
Re C Se
1 1 3
Direct
0.0000 0.0000 0.0000 Re
0.5000 0.5000 0.5000 C
0.0000 0.5000 0.5000 Se
0.5000 0.0000 0.5000 Se
0.5000 0.5000 0.0000 Se


Record 8
Y6Al7 | Alexandria | GGA-PBE | optimized geometry; E_tot = -5.41 eV per atom; DFT formation energy = -0.408 eV/atom
1.0
2.8394 1.6393 10.5347
-2.8394 1.6393 10.5347
0.0000 -3.2786 10.5347
Y Al
6 7
Direct
0.0503 0.0503 0.0503 Y
0.1491 0.1491 0.1491 Y
0.3353 0.3353 0.3353 Y
0.6647 0.6647 0.6647 Y
0.8509 0.8509 0.8509 Y
0.9497 0.9497 0.9497 Y
0.0898 0.5975 0.5975 Al
0.4025 0.4025 0.9102 Al
0.4025 0.9102 0.4025 Al
0.5000 0.5000 0.5000 Al
0.5975 0.0898 0.5975 Al
0.5975 0.5975 0.0898 Al
0.9102 0.4025 0.4025 Al


Record 9
CsRbHAu | Alexandria | GGA-PBE | optimized geometry; E_tot = -2.26 eV per atom; polymorph energy (0 for the lowest one) = 0 meV per atom
1.0
0.0000 4.1080 4.1080
4.1080 0.0000 4.1080
4.1080 4.1080 0.0000
Cs Rb H Au
1 1 1 1
Direct
0.0000 0.0000 0.0000 Cs
0.5000 0.5000 0.5000 Rb
0.2500 0.2500 0.2500 H
0.7500 0.7500 0.7500 Au


Record 10
Pm2PrEr6 | Alexandria | GGA-PBE | optimized geometry; E_tot = -4.30 eV per atom; DFT formation energy = 0.332 eV/atom; polymorph energy (0 for the lowest one) = 256 meV per atom
1.0
3.6958 2.1338 6.3136
-3.6958 2.1338 6.3136
0.0000 -4.2675 6.3136
Pm Pr Er
2 1 6
Direct
0.0000 0.0000 0.0000 Pm
0.1759 0.1759 0.1759 Pm
0.7364 0.7364 0.7364 Pr
0.0360 0.4684 0.4684 Er
0.2056 0.6800 0.6800 Er
0.4684 0.0360 0.4684 Er
0.4684 0.4684 0.0360 Er
0.6800 0.2056 0.6800 Er
0.6800 0.6800 0.2056 Er


Record 11
SmTaNi10 | Alexandria | GGA-PBE | optimized geometry; E_tot = -6.37 eV per atom; DFT formation energy = -0.171 eV/atom
1.0
3.9717 0.0000 0.0000
0.0000 4.7727 0.0000
0.0000 0.0000 8.2947
Sm Ta Ni
1 1 10
Direct
0.0000 0.0000 0.0000 Sm
0.0000 0.5000 0.5000 Ta
0.0000 0.0000 0.3450 Ni
0.0000 0.0000 0.6550 Ni
0.0000 0.5000 0.1853 Ni
0.0000 0.5000 0.8147 Ni
0.5000 0.0000 0.5000 Ni
0.5000 0.2573 0.2626 Ni
0.5000 0.2573 0.7374 Ni
0.5000 0.5000 0.0000 Ni
0.5000 0.7427 0.2626 Ni
0.5000 0.7427 0.7374 Ni


Record 12
CsBa2Au2O6 | Alexandria | GGA-PBE | optimized geometry; E_tot = -4.65 eV per atom; raw formation energy = -0.92 eV per atom
1.0
3.0668 1.7706 8.0678
-3.0668 1.7706 8.0678
0.0000 -3.5412 8.0678
Cs Ba Au O
1 2 2 6
Direct
0.0000 0.0000 0.0000 Cs
0.1986 0.1986 0.1986 Ba
0.8014 0.8014 0.8014 Ba
0.4371 0.4371 0.4371 Au
0.5629 0.5629 0.5629 Au
0.1865 0.7445 0.7445 O
0.2555 0.2555 0.8135 O
0.2555 0.8135 0.2555 O
0.7445 0.1865 0.7445 O
0.7445 0.7445 0.1865 O
0.8135 0.2555 0.2555 O